[1]
Here is a relaxed NbZnSb2Te crystal from the Alexandria database. Energies are from GGA-PBE.

The total moment comes out at 0.00 μB per cell. As for the calculated volume: 157.3 Å³ per cell. Its formation energy from raw total energies is 0.361 eV per atom.

It has space group P4/mmm (No. 123), with a = 5.4076 Å, b = 5.4076 Å, c = 5.3775 Å, α = 90.00°, β = 90.00° and γ = 90.00°. The distinct sites, in fractional coordinates, are Nb at (0.0000, 0.0000, 0.0000), Zn at (0.5000, 0.5000, 0.5000), Sb at (0.0000, 0.5000, 0.0000) and Te at (0.0000, 0.0000, 0.5000).



[2]
Here is a relaxed Cr2CuH crystal from the Alexandria database. Energies are from GGA-PBE.

The total moment comes out at 0.00 μB per cell. The calculated total energy is -24.9 eV/f.u. As for the calculated volume: 120.8 Å³ per cell.

It has space group R-3m (No. 166, hexagonal axes), with a = 2.5368 Å, b = 2.5368 Å, c = 21.6841 Å, α = 90.00°, β = 90.00° and γ = 120.00°. The distinct sites, in fractional coordinates, are Cr at (0.0000, 0.0000, 0.1153), Cu at (0.0000, 0.0000, 0.0000) and H at (0.0000, 0.0000, 0.5000).



[3]
Here is a relaxed RbPuTe2 crystal from the Alexandria database. Energies are from GGA-PBE.

The total moment comes out at 5.00 μB per cell. As for the calculated volume: 134.9 Å³ per cell. Its formation energy from raw total energies is -0.996 eV per atom.

It has space group P4/mmm (No. 123), with a = 3.9327 Å, b = 3.9327 Å, c = 8.7219 Å, α = 90.00°, β = 90.00° and γ = 90.00°. The distinct sites, in fractional coordinates, are Rb at (0.0000, 0.0000, 0.0000), Pu at (0.0000, 0.0000, 0.5000) and Te at (0.5000, 0.5000, 0.2960).



[4]
Here is a relaxed Er5PuIn6 crystal from the Alexandria database. Energies are from GGA-PBE.

For the calculated formation energy, the calculation gives -0.3855 eV/atom. The total moment comes out at 11.88 μB per cell. As for the calculated volume: 627.9 Å³ per cell.

It has space group C2/m (No. 12), with a = 16.7446 Å, b = 7.4162 Å, c = 5.3115 Å, α = 90.00°, β = 107.82° and γ = 90.00°. The distinct sites, in fractional coordinates, are Er at (0.0000, 0.0000, 0.0000), Er at (0.1609, 0.5000, 0.6615), Er at (0.1685, 0.0000, 0.6689), Pu at (0.0000, 0.5000, 0.0000), In at (0.0000, 0.2381, 0.5000) and In at (0.1696, 0.2441, 0.1697).



[5]
Here is a relaxed SmTiIn2 crystal from the Alexandria database. Energies are from GGA-PBE.

For the calculated formation energy, the calculation gives -0.0541 eV/atom. The total moment comes out at 2.40 μB per cell. As for the calculated volume: 292.4 Å³ per cell.

It has space group R-3m (No. 166, hexagonal axes), with a = 3.3264 Å, b = 3.3264 Å, c = 30.5097 Å, α = 90.00°, β = 90.00° and γ = 120.00°. The distinct sites, in fractional coordinates, are Sm at (0.0000, 0.0000, 0.0000), Ti at (0.0000, 0.0000, 0.5000) and In at (0.0000, 0.0000, 0.2420).



[6]
Here is a relaxed Sr2BiIrN crystal from the Alexandria database. Energies are from GGA-PBE.

The total moment comes out at 0.00 μB per cell. As for the calculated volume: 128.3 Å³ per cell. Its formation energy from raw total energies is -0.625 eV per atom.

It has space group P4/mmm (No. 123), with a = 5.8540 Å, b = 5.8540 Å, c = 3.7432 Å, α = 90.00°, β = 90.00° and γ = 90.00°. The distinct sites, in fractional coordinates, are Sr at (0.0000, 0.5000, 0.0000), Bi at (0.0000, 0.0000, 0.5000), Ir at (0.5000, 0.5000, 0.5000) and N at (0.5000, 0.5000, 0.0000).



[7]
Here is a relaxed Pu2NbO6 crystal from the Alexandria database. Energies are from GGA-PBE.

The total moment comes out at 18.00 μB per cell. As for the calculated volume: 221.0 Å³ per cell. Its formation energy from raw total energies is -2.828 eV per atom.

It has space group Immm (No. 71), with a = 3.7529 Å, b = 5.3023 Å, c = 11.1037 Å, α = 90.00°, β = 90.00° and γ = 90.00°. The distinct sites, in fractional coordinates, are Pu at (0.0000, 0.0000, 0.1650), Nb at (0.0000, 0.0000, 0.5000), O at (0.0000, 0.2408, 0.3427) and O at (0.0000, 0.2724, 0.0000).



[8]
Here is a relaxed Rb2RePt crystal from the Alexandria database. Energies are from GGA-PBE.

For the calculated formation energy, the calculation gives 1.0642 eV/atom. The total moment comes out at 11.96 μB per cell. As for the calculated volume: 777.5 Å³ per cell.

It has space group I-42d (No. 122), with a = 12.6590 Å, b = 12.6590 Å, c = 4.8517 Å, α = 90.00°, β = 90.00° and γ = 90.00°. The distinct sites, in fractional coordinates, are Rb at (0.0775, 0.2500, 0.1250), Re at (0.0000, 0.0000, 0.5000) and Pt at (0.0000, 0.0000, 0.0000).



[9]
Here is a relaxed Tl3Hg6Bi crystal from the Alexandria database. Energies are from GGA-PBE.

For the calculated formation energy, the calculation gives 0.0122 eV/atom. The total moment comes out at 0.00 μB per cell. As for the calculated volume: 594.7 Å³ per cell.

It has space group P2_1/m (No. 11), with a = 11.5903 Å, b = 3.3824 Å, c = 15.4598 Å, α = 90.00°, β = 101.13° and γ = 90.00°. The distinct sites, in fractional coordinates, are Tl at (0.1192, 0.2500, 0.4253), Tl at (0.3335, 0.2500, 0.9268), Tl at (0.3767, 0.7500, 0.5267), Hg at (0.0951, 0.7500, 0.8141), Hg at (0.1452, 0.7500, 0.2392), Hg at (0.1552, 0.7500, 0.6288), Hg at (0.3719, 0.2500, 0.3333), Hg at (0.3894, 0.2500, 0.7269), Hg at (0.4028, 0.2500, 0.1348) and Bi at (0.1256, 0.7500, 0.0355).



[10]
Here is a relaxed Dy3Tm2Al4 crystal from the Alexandria database. Energies are from GGA-PBE.

For the calculated formation energy, the calculation gives -0.3413 eV/atom. The total moment comes out at 0.00 μB per cell. As for the calculated volume: 216.0 Å³ per cell.

It has space group P-3m1 (No. 164), with a = 5.0850 Å, b = 5.0850 Å, c = 9.6455 Å, α = 90.00°, β = 90.00° and γ = 120.00°. The distinct sites, in fractional coordinates, are Dy at (0.0000, 0.0000, 0.0000), Dy at (0.3333, 0.6667, 0.5816), Tm at (0.3333, 0.6667, 0.2190), Al at (0.0000, 0.0000, 0.3498) and Al at (0.3333, 0.6667, 0.9016).



[11]
Here is a relaxed RbZrHS3 crystal from the Alexandria database. Energies are from GGA-PBE.

The total moment comes out at 0.00 μB per cell. The calculated total energy is -31.5 eV/f.u. As for the calculated volume: 286.3 Å³ per cell.

It has space group P2_1/m (No. 11), with a = 8.7982 Å, b = 3.5363 Å, c = 9.5471 Å, α = 90.00°, β = 105.44° and γ = 90.00°. The distinct sites, in fractional coordinates, are Rb at (0.1906, 0.2500, 0.2639), Zr at (0.3274, 0.7500, 0.8659), H at (0.1900, 0.2500, 0.5750), S at (0.1378, 0.2500, 0.8940), S at (0.2334, 0.7500, 0.5827) and S at (0.4618, 0.7500, 0.1490).



[12]
Here is a relaxed SiAg2Cl crystal from the Alexandria database. Energies are from GGA-PBE.

The total moment comes out at 0.00 μB per cell. As for the calculated volume: 228.8 Å³ per cell. Its formation energy from raw total energies is 0.189 eV per atom.

It has space group R3m (No. 160, hexagonal axes), with a = 3.2760 Å, b = 3.2760 Å, c = 24.6145 Å, α = 90.00°, β = 90.00° and γ = 120.00°. The distinct sites, in fractional coordinates, are Si at (0.0000, 0.0000, 0.0000), Ag at (0.0000, 0.0000, 0.2612), Ag at (0.0000, 0.0000, 0.5084) and Cl at (0.0000, 0.0000, 0.7429).



[13]
Here is a relaxed TbNdMgHg crystal from the Alexandria database. Energies are from GGA-PBE.

For the calculated formation energy, the calculation gives -0.2844 eV/atom. The total moment comes out at 0.00 μB per cell. As for the calculated volume: 110.4 Å³ per cell.

It has space group P4mm (No. 99), with a = 3.8132 Å, b = 3.8132 Å, c = 7.5959 Å, α = 90.00°, β = 90.00° and γ = 90.00°. The distinct sites, in fractional coordinates, are Tb at (0.0000, 0.0000, 0.0000), Nd at (0.0000, 0.0000, 0.5048), Mg at (0.5000, 0.5000, 0.2436) and Hg at (0.5000, 0.5000, 0.7713).



[14]
Here is a relaxed ScIn2GaBr6 crystal from the Alexandria database. Energies are from GGA-PBE.

The total moment comes out at 0.00 μB per cell. As for the calculated volume: 353.9 Å³ per cell. Its formation energy from raw total energies is -1.049 eV per atom.

It has space group P1 (No. 1), with a = 7.8764 Å, b = 7.8818 Å, c = 7.9972 Å, α = 60.51°, β = 60.52° and γ = 60.03°. The distinct sites, in fractional coordinates, are Sc at (0.0000, 0.0000, 0.0000), In at (0.2108, 0.2111, 0.3669), In at (0.7028, 0.7025, 0.8917), Ga at (0.4919, 0.4918, 0.5244), Br at (0.1377, 0.3251, 0.7486), Br at (0.2372, 0.8567, 0.2200), Br at (0.3251, 0.7887, 0.7484), Br at (0.6865, 0.2367, 0.2203), Br at (0.7883, 0.1374, 0.7488) and Br at (0.8566, 0.6864, 0.2204).



[15]
Here is a relaxed NaCa2Pm crystal from the Alexandria database. Energies are from GGA-PBE.

For the calculated formation energy, the calculation gives 0.1470 eV/atom. The total moment comes out at 0.00 μB per cell. As for the calculated volume: 151.7 Å³ per cell.

It has space group P4/mmm (No. 123), with a = 6.1680 Å, b = 6.1680 Å, c = 3.9885 Å, α = 90.00°, β = 90.00° and γ = 90.00°. The distinct sites, in fractional coordinates, are Na at (0.0000, 0.0000, 0.0000), Ca at (0.0000, 0.5000, 0.5000) and Pm at (0.5000, 0.5000, 0.0000).



[16]
Here is a relaxed Be2AgBr crystal from the Alexandria database. Energies are from GGA-PBE.

The total moment comes out at 0.00 μB per cell. As for the calculated volume: 140.0 Å³ per cell. Its formation energy from raw total energies is 0.682 eV per atom.

It has space group C2/m (No. 12), with a = 5.6251 Å, b = 8.2176 Å, c = 3.2929 Å, α = 90.00°, β = 113.10° and γ = 90.00°. The distinct sites, in fractional coordinates, are Be at (0.2500, 0.2500, 0.0000), Ag at (0.0000, 0.0000, 0.0000) and Br at (0.0000, 0.5000, 0.0000).



[17]
Here is a relaxed ScHg2Te crystal from the Alexandria database. Energies are from GGA-PBE.

The total moment comes out at 0.00 μB per cell. As for the calculated volume: 198.9 Å³ per cell. Its formation energy from raw total energies is -0.204 eV per atom.

It has space group Cmmm (No. 65), with a = 5.7790 Å, b = 5.8037 Å, c = 5.9312 Å, α = 90.00°, β = 90.00° and γ = 90.00°. The distinct sites, in fractional coordinates, are Sc at (0.0000, 0.0000, 0.0000), Hg at (0.0000, 0.5000, 0.2421) and Te at (0.0000, 0.0000, 0.5000).



[18]
Here is a relaxed RbReAu2 crystal from the Alexandria database. Energies are from GGA-PBE.

For the calculated formation energy, the calculation gives 1.2459 eV/atom. The total moment comes out at 13.90 μB per cell. As for the calculated volume: 365.2 Å³ per cell.

It has space group Fm-3m (No. 225), with a = 7.1477 Å, b = 7.1477 Å, c = 7.1477 Å, α = 90.00°, β = 90.00° and γ = 90.00°. The distinct sites, in fractional coordinates, are Rb at (0.0000, 0.0000, 0.0000), Re at (0.0000, 0.0000, 0.5000) and Au at (0.2500, 0.2500, 0.2500).



[19]
Here is a relaxed Li2PuThGe2 crystal from the Alexandria database. Energies are from GGA-PBE.

For the calculated formation energy, the calculation gives -0.4561 eV/atom. The total moment comes out at 5.71 μB per cell. As for the calculated volume: 125.2 Å³ per cell.

It has space group P-3m1 (No. 164), with a = 4.5371 Å, b = 4.5371 Å, c = 7.0234 Å, α = 90.00°, β = 90.00° and γ = 120.00°. The distinct sites, in fractional coordinates, are Li at (0.3333, 0.6667, 0.2836), Pu at (0.0000, 0.0000, 0.5000), Th at (0.0000, 0.0000, 0.0000) and Ge at (0.3333, 0.6667, 0.7435).



[20]
Here is a relaxed Cs6HgCl8 crystal from the Alexandria database. Energies are from GGA-PBE.

The total moment comes out at 0.74 μB per cell. As for the calculated volume: 1782.2 Å³ per cell. Its formation energy from raw total energies is -1.676 eV per atom.

It has space group R-3 (No. 148, hexagonal axes), with a = 10.1207 Å, b = 10.1207 Å, c = 20.0909 Å, α = 90.00°, β = 90.00° and γ = 120.00°. The distinct sites, in fractional coordinates, are Cs at (0.0217, 0.4029, 0.4182), Hg at (0.0000, 0.0000, 0.5000), Cl at (0.0000, 0.0000, 0.1549) and Cl at (0.0113, 0.2303, 0.5784).



[21]
Here is a relaxed AgSb2As2 crystal from the Alexandria database. Energies are from GGA-PBE.

The total moment comes out at 0.00 μB per cell. As for the calculated volume: 237.7 Å³ per cell. Its formation energy from raw total energies is 0.279 eV per atom.

It has space group I4/mmm (No. 139), with a = 3.7625 Å, b = 3.7625 Å, c = 16.7879 Å, α = 90.00°, β = 90.00° and γ = 90.00°. The distinct sites, in fractional coordinates, are Ag at (0.0000, 0.0000, 0.0000), Sb at (0.0000, 0.0000, 0.4052) and As at (0.0000, 0.5000, 0.2500).



[22]
Here is a relaxed MnCr crystal from the Alexandria database. Energies are from GGA-PBE.

For the calculated formation energy, the calculation gives 1.0658 eV/atom. The total moment comes out at 0.37 μB per cell. As for the calculated volume: 59.5 Å³ per cell.

It has space group P6_3/mmc (No. 194), with a = 3.8395 Å, b = 3.8395 Å, c = 4.6571 Å, α = 90.00°, β = 90.00° and γ = 120.00°. The distinct sites, in fractional coordinates, are Mn at (0.3333, 0.6667, 0.2500) and Cr at (0.3333, 0.6667, 0.7500).



[23]
Here is a relaxed Pm3Er4Th2 crystal from the Alexandria database. Energies are from GGA-PBE.

For the calculated formation energy, the calculation gives 0.1266 eV/atom. The total moment comes out at 0.00 μB per cell. As for the calculated volume: 588.0 Å³ per cell.

It has space group C2/m (No. 12), with a = 16.5180 Å, b = 5.7917 Å, c = 6.3697 Å, α = 90.00°, β = 105.23° and γ = 90.00°. The distinct sites, in fractional coordinates, are Pm at (0.0000, 0.0000, 0.0000), Pm at (0.1290, 0.0000, 0.5671), Er at (0.0609, 0.5000, 0.7407), Er at (0.2301, 0.0000, 0.1327) and Th at (0.1453, 0.5000, 0.2818).



[24]
Here is a relaxed GdScS crystal from the Alexandria database. Energies are from GGA-PBE.

The total moment comes out at 7.15 μB per cell. As for the calculated volume: 71.7 Å³ per cell. Its formation energy from raw total energies is -1.239 eV per atom.

It has space group P3m1 (No. 156), with a = 3.6789 Å, b = 3.6789 Å, c = 6.1193 Å, α = 90.00°, β = 90.00° and γ = 120.00°. The distinct sites, in fractional coordinates, are Gd at (0.0000, 0.0000, 0.0000), Sc at (0.6667, 0.3333, 0.4749) and S at (0.3333, 0.6667, 0.7121).



[25]
Here is a relaxed NdThZnSi crystal from the Alexandria database. Energies are from GGA-PBE.

The total moment comes out at 0.00 μB per cell. As for the calculated volume: 388.6 Å³ per cell. Its formation energy from raw total energies is -0.334 eV per atom.

It has space group F-43m (No. 216), with a = 7.2971 Å, b = 7.2971 Å, c = 7.2971 Å, α = 90.00°, β = 90.00° and γ = 90.00°. The distinct sites, in fractional coordinates, are Nd at (0.0000, 0.0000, 0.0000), Th at (0.0000, 0.0000, 0.5000), Zn at (0.2500, 0.2500, 0.7500) and Si at (0.2500, 0.2500, 0.2500).



[26]
Here is a relaxed Ho2Er3Se6 crystal from the Alexandria database. Energies are from GGA-PBE.

The total moment comes out at 0.00 μB per cell. As for the calculated volume: 553.7 Å³ per cell. Its formation energy from raw total energies is -1.838 eV per atom.

It has space group C2/m (No. 12), with a = 6.9936 Å, b = 12.0537 Å, c = 6.9677 Å, α = 90.00°, β = 109.51° and γ = 90.00°. The distinct sites, in fractional coordinates, are Ho at (0.0000, 0.1649, 0.0000), Er at (0.0000, 0.0000, 0.5000), Er at (0.0000, 0.3343, 0.5000), Se at (0.2447, 0.5000, 0.7543) and Se at (0.2468, 0.3358, 0.2486).